## Er3Tm5Co2 (PBE-GGA)

Data for an optimized crystal structure of Er3Tm5Co2.

The structure in POSCAR format:
```
Er3Tm5Co2
1.0
7.558 0.000 0.000
3.779 8.803 0.413
3.779 2.734 8.378
Er Tm Co
6 10 4
direct
0.250 0.000 0.000 Er
0.750 0.000 0.000 Er
0.376 0.382 0.867 Er
0.624 0.618 0.133 Er
0.876 0.867 0.382 Er
0.124 0.133 0.618 Er
0.250 0.500 0.500 Tm
0.750 0.500 0.500 Tm
0.504 0.746 0.746 Tm
0.996 0.254 0.254 Tm
0.496 0.254 0.254 Tm
0.004 0.746 0.746 Tm
0.124 0.618 0.133 Tm
0.876 0.382 0.867 Tm
0.624 0.133 0.618 Tm
0.376 0.867 0.382 Tm
0.130 0.869 0.870 Co
0.870 0.131 0.130 Co
0.630 0.870 0.869 Co
0.370 0.130 0.131 Co
```

Calculated values
For the size of the total moment, the calculation gives 0.0 Bohr magnetons per cell. The calculation puts the density of states at the Fermi level at 1.116 states/eV per atom. The volume is 27.444 A^3/atom. As for the calculated total energy: -0.1865 hartree per atom. As for the space group: Ibam. Its formation energy is -0.5 eV per formula unit. The density comes out at 8.9 g/cm³.

## HfGeIrRu (PBE-GGA)

Data for an optimized crystal structure of HfGeIrRu.

The structure in POSCAR format:
```
HfGeIrRu
1.0
4.478 0.000 0.000
2.239 3.878 0.000
2.239 1.293 3.657
Ru Ge Ir Hf
1 1 1 1
direct
0.000 0.000 0.000 Ru
0.750 0.750 0.750 Ge
0.500 0.500 0.500 Ir
0.250 0.250 0.250 Hf
```

Calculated values
For the size of the total moment, the calculation gives 1.0 Bohr magnetons per cell. Its energy above the lowest structure with this stoichiometry is 85.5 meV/atom. The calculation puts the density of states at the Fermi level at 0.855 states/eV per atom. The volume is 15.877 A^3/atom. As for the calculated total energy: -0.3199 hartree per atom. As for the space group: F-43m. Its formation energy is -2.1 eV per formula unit. The density comes out at 14.2 g/cm³.

## In3Hg5Pb2 (PBE-GGA)

Data for an optimized crystal structure of In3Hg5Pb2.

The structure in POSCAR format:
```
In3Hg5Pb2
1.0
3.188 0.000 0.707
1.570 8.288 0.460
-0.617 -3.535 10.318
In Hg Pb
3 5 2
direct
0.500 0.500 0.500 In
0.101 0.690 0.107 In
0.899 0.310 0.893 In
0.000 0.000 0.000 Hg
0.101 0.205 0.593 Hg
0.899 0.795 0.407 Hg
0.703 0.397 0.197 Hg
0.297 0.603 0.803 Hg
0.316 0.084 0.285 Pb
0.684 0.916 0.715 Pb
```

Calculated values
For the size of the total moment, the calculation gives 0.0 Bohr magnetons per cell. The calculation puts the density of states at the Fermi level at 0.463 states/eV per atom. The volume is 27.746 A^3/atom. As for the calculated total energy: -0.0618 hartree per atom. As for the space group: C2/m. Its formation energy is 0.3 eV per formula unit. The density comes out at 10.5 g/cm³.

## CoTcB2 (PBE-GGA)

Data for an optimized crystal structure of CoTcB2.

The structure in POSCAR format:
```
CoTcB2
1.0
-3.189 0.869 1.681
-1.040 3.548 0.283
-2.864 1.257 -1.993
B Co Tc
2 1 1
direct
0.250 0.250 0.250 B
0.750 0.750 0.750 B
0.000 0.000 0.000 Co
0.500 0.500 0.500 Tc
```

Calculated values
For the size of the total moment, the calculation gives 0.4 Bohr magnetons per cell. Its energy above the lowest structure with this stoichiometry is 0.0 meV/atom. The calculation puts the density of states at the Fermi level at 0.775 states/eV per atom. The volume is 9.016 A^3/atom. As for the calculated total energy: -0.2803 hartree per atom. As for the space group: Fm-3m. Its formation energy is 0.3 eV per formula unit. The density comes out at 8.2 g/cm³.

## Cs2TeS3 (PBE-GGA)

Data for an optimized crystal structure of Cs2TeS3.

The structure in POSCAR format:
```
Cs2TeS3
1.0
5.130 0.000 0.000
0.000 7.624 0.000
-2.565 0.000 11.603
Cs Te S
4 2 6
direct
0.174 0.750 0.348 Cs
0.826 0.250 0.652 Cs
0.980 0.750 0.959 Cs
0.020 0.250 0.041 Cs
0.347 0.750 0.694 Te
0.653 0.250 0.306 Te
0.409 0.502 0.818 S
0.591 0.498 0.182 S
0.409 0.998 0.818 S
0.591 0.002 0.182 S
0.818 0.750 0.637 S
0.182 0.250 0.363 S
```

Calculated values
For the size of the total moment, the calculation gives 0.0 Bohr magnetons per cell. Its energy above the lowest structure with this stoichiometry is 56.2 meV/atom. For the formation energy from raw total energies, the calculation gives -0.703 eV/atom. The volume is 37.818 A^3/atom. As for the calculated total energy: -0.1314 hartree per atom. As for the space group: Cmcm. The density comes out at 3.6 g/cm³.

## Rb2TiPtO4 (PBE-GGA)

Data for an optimized crystal structure of Rb2TiPtO4.

The structure in POSCAR format:
```
Rb2TiPtO4
1.0
5.435 0.000 0.000
2.717 6.383 0.000
2.717 0.000 10.422
Rb Ti Pt O
4 2 2 8
direct
0.182 0.000 0.635 Rb
0.818 0.000 0.365 Rb
0.568 0.500 0.865 Rb
0.932 0.500 0.135 Rb
0.750 0.500 0.500 Ti
0.000 0.000 0.000 Ti
0.250 0.500 0.500 Pt
0.500 0.000 0.000 Pt
0.282 0.802 0.067 O
0.152 0.198 0.933 O
0.915 0.802 0.933 O
0.651 0.198 0.067 O
0.468 0.698 0.433 O
0.598 0.302 0.567 O
0.835 0.698 0.567 O
0.099 0.302 0.433 O
```

Calculated values
For the size of the total moment, the calculation gives 0.0 Bohr magnetons per cell. For the formation energy from raw total energies, the calculation gives -1.552 eV/atom. The volume is 22.595 A^3/atom. As for the calculated total energy: -0.2210 hartree per atom. As for the space group: Fddd. The density comes out at 4.4 g/cm³.

Among the records above, which one has the lowest density? Cs2TeS3

Which formula does entry 5 have? Cs2TeS3

density of number 2 (HfGeIrRu)? 14.2 g/cm³